Record 1
Material: DyErPb
Method: DFT, PBE-GGA
State: optimized geometry

a b c (Å): 7.273 7.273 7.273
angles (deg): 90.00 90.00 90.00
Space group F-43m (No. 216)
Asymmetric unit:
Dy (0.000, 0.000, 0.000) [4 per cell]
Er (0.000, 0.000, 0.500) [4 per cell]
Pb (0.250, 0.250, 0.250) [4 per cell]

## Properties
Raw total energy = -4.4628 eV per atom
Crystal system = cubic
Size of the total moment = 0.09 Bohr magnetons per cell

Record 2
Material: HfHgNO
Method: DFT, PBE-GGA
State: optimized geometry

a b c (Å): 3.611 6.578 5.929
angles (deg): 90.00 90.00 90.00
Space group Pmc2_1 (No. 26)
Asymmetric unit:
Hf (0.000, 0.161, 0.000) [2 per cell]
Hg (0.500, 0.324, 0.476) [2 per cell]
N (0.000, 0.106, 0.335) [2 per cell]
O (0.500, 0.278, 0.929) [2 per cell]

## Properties
Raw total energy = -7.0418 eV per atom
Crystal system = orthorhombic
Size of the total moment = 0.01 Bohr magnetons per cell

Record 3
Material: ZnW
Method: DFT, PBE-GGA
State: optimized geometry

a b c (Å): 5.579 5.579 5.579
angles (deg): 90.00 90.00 90.00
Space group F-43m (No. 216)
Asymmetric unit:
Zn (0.000, 0.000, 0.000) [4 per cell]
W (0.250, 0.250, 0.250) [4 per cell]

## Properties
DFT formation energy = 2.49 eV per atom
Crystal system = cubic
Size of the total moment = 0.01 Bohr magnetons per cell

Record 4
Material: NdSiIr
Method: DFT, PBE-GGA
State: optimized geometry

a b c (Å): 6.358 6.358 6.358
angles (deg): 90.00 90.00 90.00
Space group P2_13 (No. 198)
Asymmetric unit:
Nd (0.121, 0.121, 0.121) [4 per cell]
Si (0.165, 0.335, 0.665) [4 per cell]
Ir (0.068, 0.568, 0.932) [4 per cell]

## Properties
Raw total energy = -7.2987 eV per atom
Crystal system = cubic
Size of the total moment = 0.01 Bohr magnetons per cell

Record 5
Material: Re2PbO8
Method: DFT, PBE-GGA
State: optimized geometry

a b c (Å): 5.605 6.229 6.234
angles (deg): 60.05 89.98 89.91
Space group P-1 (No. 2)
Asymmetric unit:
Re (0.139, 0.334, 0.333) [2 per cell]
Pb (0.500, 0.000, 0.000) [1 per cell]
O (0.170, 0.666, 0.666) [2 per cell]
O (0.240, 0.219, 0.143) [2 per cell]
O (0.240, 0.638, 0.219) [2 per cell]
O (0.241, 0.143, 0.638) [2 per cell]

## Properties
Raw total energy = -7.7220 eV per atom
Crystal system = triclinic
Size of the total moment = 0.00 Bohr magnetons per cell

Record 6
Material: SrHoZnS3
Method: DFT, PBE-GGA
State: optimized geometry

a b c (Å): 3.980 13.241 10.276
angles (deg): 90.00 90.00 90.00
Space group Cmcm (No. 63)
Asymmetric unit:
Sr (0.000, 0.248, 0.250) [4 per cell]
Ho (0.000, 0.000, 0.000) [4 per cell]
Zn (0.000, 0.475, 0.750) [4 per cell]
S (0.000, 0.075, 0.750) [4 per cell]
S (0.000, 0.361, 0.572) [8 per cell]

## Properties
Raw total energy = -4.8049 eV per atom
Crystal system = orthorhombic
Size of the total moment = 0.02 Bohr magnetons per cell

Record 7
Material: Nd2AlSiCl2
Method: DFT, PBE-GGA
State: optimized geometry

a b c (Å): 4.1334 4.1334 11.2875
angles (deg): 90.00 90.00 120.00
Space group P3m1 (No. 156)
Asymmetric unit:
Nd (0.0000, 0.0000, 0.0000) [1 per cell]
Nd (0.0000, 0.0000, 0.3773) [1 per cell]
Al (0.6667, 0.3333, 0.1749) [1 per cell]
Si (0.3333, 0.6667, 0.2044) [1 per cell]
Cl (0.3333, 0.6667, 0.8516) [1 per cell]
Cl (0.6667, 0.3333, 0.5258) [1 per cell]

## Properties
Raw total energy = -5.1063 eV per atom
Crystal system = trigonal
Size of the total moment = 0.00 Bohr magnetons per cell

Record 8
Material: Ba2LiIrN6
Method: DFT, PBE-GGA
State: optimized geometry

a b c (Å): 5.751 5.751 8.228
angles (deg): 90.00 90.00 90.00
Space group I4/mmm (No. 139)
Asymmetric unit:
Ba (0.000, 0.500, 0.250) [4 per cell]
Li (0.000, 0.000, 0.000) [2 per cell]
Ir (0.000, 0.000, 0.500) [2 per cell]
N (0.000, 0.000, 0.261) [4 per cell]
N (0.241, 0.241, 0.500) [8 per cell]

## Properties
Raw total energy = -5.7692 eV per atom
Crystal system = tetragonal
Size of the total moment = 0.05 Bohr magnetons per cell

Record 9
Material: Nb3InGe5
Method: DFT, PBE-GGA
State: optimized geometry

a b c (Å): 5.7057 5.7057 6.6770
angles (deg): 90.00 90.00 120.00
Space group P6/mmm (No. 191)
Asymmetric unit:
Nb (0.0000, 0.5000, 0.0000) [3 per cell]
In (0.0000, 0.0000, 0.5000) [1 per cell]
Ge (0.0000, 0.0000, 0.0000) [1 per cell]
Ge (0.3333, 0.6667, 0.3164) [4 per cell]

## Properties
Raw total energy = -6.2372 eV per atom
Crystal system = hexagonal
Size of the total moment = 0.00 Bohr magnetons per cell

Record 10
Material: BPdNO
Method: DFT, PBE-GGA
State: optimized geometry

a b c (Å): 4.428 7.883 4.132
angles (deg): 90.00 90.00 90.00
Space group Pca2_1 (No. 29)
Asymmetric unit:
B (0.087, 0.089, 0.000) [4 per cell]
Pd (0.037, 0.657, 0.986) [4 per cell]
N (0.036, 0.277, 0.010) [4 per cell]
O (0.132, 0.027, 0.663) [4 per cell]

## Properties
Raw total energy = -6.8739 eV per atom
Crystal system = orthorhombic

Record 11
Material: Nb2NCl
Method: DFT, PBE-GGA
State: optimized geometry

a b c (Å): 8.272 5.747 5.931
angles (deg): 90.00 111.02 90.00
Space group C2 (No. 5)
Asymmetric unit:
Nb (0.188, 0.000, 0.094) [4 per cell]
Nb (0.188, 0.003, 0.594) [4 per cell]
N (0.000, 0.002, 0.250) [4 per cell]
Cl (0.000, 0.502, 0.250) [4 per cell]

## Properties
Raw total energy = -7.8670 eV per atom
Crystal system = monoclinic
Size of the total moment = 0.01 Bohr magnetons per cell

Record 12
Material: AgPbSeO
Method: DFT, PBE-GGA
State: optimized geometry

a b c (Å): 4.483 4.483 8.738
angles (deg): 90.00 90.00 90.00
Space group P4/nmm (No. 129, origin choice 2)
Asymmetric unit:
Ag (0.250, 0.250, 0.244) [2 per cell]
Pb (0.250, 0.750, 0.500) [2 per cell]
Se (0.250, 0.250, 0.799) [2 per cell]
O (0.250, 0.250, 0.994) [2 per cell]

## Properties
Raw total energy = -3.7282 eV per atom
Crystal system = tetragonal

Number 1: volume 385 Å³ per cell. Number 2: volume 141 Å³ per cell. Number 3: volume 174 Å³ per cell. Number 4: volume 257 Å³ per cell. Number 5: volume 189 Å³ per cell. Number 6: volume 541 Å³ per cell. Number 7: volume 167 Å³ per cell. Number 8: volume 272 Å³ per cell. Number 9: volume 188 Å³ per cell. Number 10: volume 144 Å³ per cell. Number 11: volume 263 Å³ per cell. Number 12: volume 176 Å³ per cell.